one.
Sm2Y8Th (PBE, relaxed); calculated density = 5.5 Mg/m³; DOS at the Fermi energy = 18.5 states/eV/cell
1.0
-2.836 3.230 3.630
2.286 -7.011 7.086
7.307 -2.267 6.787
Sm Y Th
2 8 1
direct
0.749 0.283 0.283
0.251 0.717 0.717
0.273 0.132 0.610
0.273 0.610 0.132
0.727 0.868 0.390
0.231 0.548 0.548
0.727 0.390 0.868
0.226 0.185 0.185
0.774 0.815 0.815
0.769 0.452 0.452
0.000 0.000 0.000


two.
Sm2Y8Th (PBE, relaxed); calculated density = 5.6 Mg/m³; DOS at the Fermi energy = 17.7 states/eV/cell
1.0
5.403 -0.021 -0.068
-0.009 7.998 -2.676
0.101 0.534 8.416
Sm Y Th
2 8 1
direct
0.000 0.380 0.620
0.000 0.620 0.380
0.000 0.967 0.704
0.000 0.704 0.967
0.500 0.667 0.667
0.500 0.747 0.253
0.500 0.253 0.747
0.500 0.333 0.333
0.000 0.296 0.033
0.000 0.033 0.296
0.500 0.000 0.000


Which of them is most stable? Easy: two.


one.
Sm5Y4Th2 (PBE, relaxed); calculated density = 6.6 Mg/m³; DOS at the Fermi energy = 17.6 states/eV/cell
1.0
-2.334 2.279 -1.072
-4.436 -0.729 8.114
10.277 8.446 1.075
Sm Y Th
5 4 2
direct
0.844 0.166 0.689
0.844 0.523 0.689
0.156 0.477 0.311
0.156 0.834 0.311
0.500 0.000 0.000
0.000 0.318 0.000
0.760 0.760 0.521
0.000 0.682 0.000
0.240 0.240 0.479
0.892 0.892 0.785
0.108 0.108 0.215


two.
Sm5Y4Th2 (PBE, relaxed); calculated density = 7.0 Mg/m³; DOS at the Fermi energy = 21.4 states/eV/cell
1.0
-3.082 -0.539 -1.605
1.203 -8.788 0.639
-5.359 -0.794 10.557
Sm Y Th
5 4 2
direct
0.000 0.423 0.288
0.000 0.802 0.166
0.000 0.500 0.000
0.000 0.198 0.834
0.000 0.577 0.712
0.500 0.304 0.547
0.500 0.843 0.894
0.500 0.696 0.453
0.500 0.157 0.106
0.000 0.961 0.632
0.000 0.039 0.368


Which of them is most stable? Easy: two.


one.
Sm5YTh2 (PBE, relaxed); calculated density = 8.1 Mg/m³; DOS at the Fermi energy = 24.8 states/eV/cell
1.0
-7.917 -2.028 3.608
-0.225 -7.566 -4.746
7.189 1.555 5.589
Sm Y Th
10 2 4
direct
0.490 0.687 0.677
0.813 0.010 0.323
0.000 0.000 0.000
0.500 0.500 0.000
0.187 0.990 0.677
0.687 0.187 0.677
0.990 0.490 0.677
0.313 0.813 0.323
0.010 0.510 0.323
0.510 0.313 0.323
0.750 0.750 0.500
0.250 0.250 0.500
0.141 0.359 0.000
0.641 0.141 0.000
0.359 0.859 0.000
0.859 0.641 0.000


two.
Sm5YTh2 (PBE, relaxed); calculated density = 8.1 Mg/m³; DOS at the Fermi energy = 13.0 states/eV/cell
1.0
3.482 -0.001 -0.693
-0.953 10.202 -4.799
-0.091 -2.205 8.668
Sm Y Th
5 1 2
direct
0.000 0.500 0.000
0.629 0.393 0.260
0.371 0.607 0.740
0.629 0.867 0.260
0.371 0.133 0.740
0.000 0.000 0.000
0.257 0.757 0.515
0.743 0.243 0.485


Which of them is most stable? Easy: two.


one.
Sm2Y3Th (PBE, relaxed); calculated density = 6.7 Mg/m³; DOS at the Fermi energy = 16.9 states/eV/cell
1.0
5.209 1.645 2.994
0.515 11.327 3.647
1.268 1.412 7.813
Sm Y Th
4 6 2
direct
0.870 0.624 0.627
0.373 0.129 0.122
0.627 0.871 0.878
0.130 0.376 0.373
0.618 0.209 0.542
0.382 0.791 0.458
0.123 0.040 0.714
0.627 0.542 0.203
0.373 0.458 0.797
0.877 0.960 0.286
0.124 0.710 0.040
0.876 0.290 0.960


two.
Sm2Y3Th (PBE, relaxed); calculated density = 6.6 Mg/m³; DOS at the Fermi energy = 15.0 states/eV/cell
1.0
6.813 0.000 0.000
0.000 7.250 3.024
0.000 -0.916 7.801
Sm Y Th
4 6 2
direct
0.574 0.835 0.485
0.074 0.515 0.165
0.574 0.485 0.835
0.074 0.165 0.515
0.078 0.777 0.428
0.578 0.572 0.223
0.078 0.428 0.777
0.578 0.223 0.572
0.324 0.861 0.861
0.824 0.139 0.139
0.830 0.852 0.852
0.330 0.148 0.148


Which of them is most stable? Easy: one.